[1]
LiSi2W, relaxed, DFT PBE; ΔE to the lowest computed polymorph = 37 meV per atom
1.0
-1.857 1.872 3.788
1.857 -1.872 3.788
1.857 1.872 -3.788
Li Si W
1 2 1
Direct
0.000 0.000 0.000
0.250 0.750 0.500
0.750 0.250 0.500
0.500 0.500 0.000

***

[2]
Ac6ZnHg2, relaxed, DFT PBE; DFT formation energy = -79 meV per atom
1.0
8.720 -3.920 0.000
8.720 3.920 0.000
-1.743 0.000 5.242
Ac Zn Hg
6 1 2
Direct
0.082 0.590 0.336
0.241 0.759 0.000
0.410 0.918 0.664
0.590 0.082 0.336
0.759 0.241 0.000
0.918 0.410 0.664
0.000 0.000 0.500
0.334 0.334 0.834
0.666 0.666 0.166

***

[3]
RbCd3Pt, relaxed, DFT PBE; ΔE to the lowest computed polymorph = 203 meV per atom; DFT formation energy = -47 meV per atom
1.0
6.691 -6.276 0.000
6.691 6.276 0.000
-0.658 0.000 2.986
Rb Cd Pt
2 6 2
Direct
0.241 0.759 0.000
0.759 0.241 0.000
0.107 0.362 0.497
0.362 0.107 0.497
0.399 0.399 0.173
0.601 0.601 0.827
0.638 0.893 0.503
0.893 0.638 0.503
0.089 0.089 0.831
0.911 0.911 0.169

***

[4]
Sc2CrInC, relaxed, DFT PBE; DFT formation energy = -396 meV per atom
1.0
4.591 0.000 0.000
0.000 4.591 0.000
0.000 0.000 3.977
Sc Cr In C
2 1 1 1
Direct
0.000 0.500 0.000
0.500 0.000 0.000
0.000 0.000 0.500
0.500 0.500 0.500
0.000 0.000 0.000

***

| no. | total DFT energy (no corrections) (eV/atom) |
| --- | --- |
| 1 | -6.450 |
| 2 | -3.027 |
| 3 | -1.998 |
| 4 | -7.246 |